Below is a relaxed structure of PmDy3Tm2Te6, with properties calculated at the GGA-PBE level.

## Properties
ΔE_f (raw) in eV/atom: -1.265
ρ in g/cm³: 8.2
Symmetry: C2/m (12)

Lattice parameters (Å, degrees): 9.706 9.706 8.779 101.79 101.79 25.70
Fractional positions:
Pm (0.000, 0.000, 0.000)
Dy (0.000, 0.000, 0.500)
Dy (0.341, 0.341, 0.164)
Dy (0.659, 0.659, 0.836)
Tm (0.336, 0.336, 0.668)
Tm (0.664, 0.664, 0.332)
Te (0.169, 0.169, 0.584)
Te (0.172, 0.172, 0.092)
Te (0.497, 0.497, 0.742)
Te (0.503, 0.503, 0.258)
Te (0.828, 0.828, 0.908)
Te (0.831, 0.831, 0.416)